Record 1
Below is crystalline Sb2OsRhC at its relaxed geometry, with properties calculated at the PBE level.

Lattice parameters (Å, degrees): 4.7847 4.7847 3.8766 90.00 90.00 90.00
Fractional positions:
Sb: 0.0000 0.5000 0.0000
Sb: 0.5000 0.0000 0.0000
Os: 0.0000 0.0000 0.5000
Rh: 0.5000 0.5000 0.5000
C: 0.0000 0.0000 0.0000

Computed properties:
Formation energy without anion corrections in kJ per mole of atoms: 83.5
Calculated volume in Å³ per atom: 17.7
Symmetry: P4/mmm
ΔE to the lowest computed polymorph in meV/atom: 0

Record 2
Below is crystalline BeMo2Os at its relaxed geometry, with properties calculated at the PBE level.

Lattice parameters (Å, degrees): 2.7673 3.9209 5.1613 90.00 90.00 90.00
Fractional positions:
Be: 0.0000 0.0000 0.0000
Mo: 0.5000 0.5000 0.2420
Mo: 0.5000 0.5000 0.7580
Os: 0.0000 0.0000 0.5000

Computed properties:
Calculated volume in Å³ per atom: 14.0
Symmetry: Pmmm
Energy in eV per cell: -36.4

Record 3
Below is crystalline SnHg2P at its relaxed geometry, with properties calculated at the PBE level.

Lattice parameters (Å, degrees): 6.9451 6.9451 6.9451 121.09 121.09 88.12
Fractional positions:
Sn: 0.0000 0.0000 0.0000
Sn: 0.7500 0.2500 0.5000
Hg: 0.1711 0.6250 0.0461
Hg: 0.3750 0.4211 0.5461
Hg: 0.5789 0.1250 0.9539
Hg: 0.8750 0.8289 0.4539
P: 0.2500 0.7500 0.5000
P: 0.5000 0.5000 0.0000

Computed properties:
Calculated volume in Å³ per atom: 29.1
Symmetry: I-42d
ΔE to the lowest computed polymorph in meV/atom: 0

Record 4
Below is crystalline Sc2BSb at its relaxed geometry, with properties calculated at the PBE level.

Lattice parameters (Å, degrees): 8.1245 8.1245 8.1245 30.05 30.05 30.05
Fractional positions:
Sc: 0.0989 0.0989 0.0989
Sc: 0.9011 0.9011 0.9011
B: 0.0000 0.0000 0.0000
Sb: 0.5000 0.5000 0.5000

Computed properties:
Formation energy without anion corrections in kJ per mole of atoms: 58.3
Calculated volume in Å³ per atom: 29.8
Symmetry: R-3m
ΔE to the lowest computed polymorph in meV/atom: 800

Record 5
Below is crystalline Na2TeBr at its relaxed geometry, with properties calculated at the PBE level.

Lattice parameters (Å, degrees): 8.5692 8.5692 8.5692 26.95 26.95 26.95
Fractional positions:
Na: 0.2406 0.2406 0.2406
Na: 0.7594 0.7594 0.7594
Te: 0.0000 0.0000 0.0000
Br: 0.5000 0.5000 0.5000

Computed properties:
Formation energy without anion corrections in kJ per mole of atoms: -97.6
Calculated volume in Å³ per atom: 28.5
Symmetry: R-3m
ΔE to the lowest computed polymorph in meV/atom: 0

Record 6
Below is crystalline ReSi2Se at its relaxed geometry, with properties calculated at the PBE level.

Lattice parameters (Å, degrees): 2.6719 2.6719 10.4958 90.00 90.00 97.21
Fractional positions:
Re: 0.0000 0.0000 0.0000
Si: 0.5000 0.5000 0.1849
Si: 0.5000 0.5000 0.8151
Se: 0.0000 0.0000 0.5000

Computed properties:
Formation energy without anion corrections in kJ per mole of atoms: 40.8
Calculated volume in Å³ per atom: 18.6
Symmetry: Cmmm

Record 7
Below is crystalline Nd3Sm6Y2Tl at its relaxed geometry, with properties calculated at the PBE level.

Lattice parameters (Å, degrees): 6.2503 6.2503 11.8694 95.13 95.13 120.16
Fractional positions:
Nd: 0.0000 0.0000 0.0000
Nd: 0.3314 0.6686 0.0000
Nd: 0.6686 0.3314 0.0000
Sm: 0.0936 0.4203 0.2559
Sm: 0.2535 0.2535 0.7465
Sm: 0.4203 0.0936 0.2559
Sm: 0.5797 0.9064 0.7441
Sm: 0.7465 0.7465 0.2535
Sm: 0.9064 0.5797 0.7441
Y: 0.1659 0.8341 0.5000
Y: 0.8341 0.1659 0.5000
Tl: 0.5000 0.5000 0.5000

Computed properties:
Calculated volume in Å³ per atom: 32.9
Symmetry: C2/m
Energy in eV per cell: -58.1

Record 8
Below is crystalline LiSn2Sb at its relaxed geometry, with properties calculated at the PBE level.

Lattice parameters (Å, degrees): 7.4256 7.4256 7.4256 124.25 124.25 82.78
Fractional positions:
Li: 0.0000 0.0000 0.0000
Li: 0.7500 0.2500 0.5000
Sn: 0.1102 0.6250 0.9852
Sn: 0.3750 0.3602 0.4852
Sn: 0.6398 0.1250 0.0148
Sn: 0.8750 0.8898 0.5148
Sb: 0.2500 0.7500 0.5000
Sb: 0.5000 0.5000 0.0000

Computed properties:
Formation energy without anion corrections in kJ per mole of atoms: 14.6
Calculated volume in Å³ per atom: 33.6
Symmetry: I-42d
ΔE to the lowest computed polymorph in meV/atom: 293

Record 9
Below is crystalline Ho5Er5Th2 at its relaxed geometry, with properties calculated at the PBE level.

Lattice parameters (Å, degrees): 8.9165 8.9165 9.6890 122.79 122.79 36.41
Fractional positions:
Ho: 0.0000 0.0000 0.0000
Ho: 0.1266 0.1266 0.4550
Ho: 0.2504 0.2504 0.2496
Ho: 0.7496 0.7496 0.7504
Ho: 0.8734 0.8734 0.5450
Er: 0.3735 0.3735 0.7076
Er: 0.3754 0.3754 0.0426
Er: 0.5000 0.5000 0.5000
Er: 0.6246 0.6246 0.9574
Er: 0.6265 0.6265 0.2924
Th: 0.1221 0.1221 0.7819
Th: 0.8779 0.8779 0.2181

Computed properties:
Calculated volume in Å³ per atom: 31.3
Symmetry: C2/m
ΔE to the lowest computed polymorph in meV/atom: 18

Record 10
Below is crystalline BaNbP2S8 at its relaxed geometry, with properties calculated at the PBE level.

Lattice parameters (Å, degrees): 6.0326 6.0326 8.7726 90.00 90.00 120.00
Fractional positions:
Ba: 0.0000 0.0000 0.0000
Nb: 0.0000 0.0000 0.5000
P: 0.3333 0.6667 0.7367
P: 0.6667 0.3333 0.2633
S: 0.0001 0.3331 0.6682
S: 0.9999 0.6669 0.3318
S: 0.3330 0.9999 0.6682
S: 0.3331 0.3330 0.3318
S: 0.3333 0.6667 0.9650
S: 0.6670 0.0001 0.3318
S: 0.6667 0.3333 0.0350
S: 0.6669 0.6670 0.6682

Computed properties:
Formation energy without anion corrections in kJ per mole of atoms: -64.9
Calculated volume in Å³ per atom: 23.0
Symmetry: P-3

Record 11
Below is crystalline CeDyZnIn at its relaxed geometry, with properties calculated at the PBE level.

Lattice parameters (Å, degrees): 5.2616 5.2616 5.2616 60.00 60.00 60.00
Fractional positions:
Ce: 0.0000 0.0000 0.0000
Dy: 0.5000 0.5000 0.5000
Zn: 0.7500 0.7500 0.7500
In: 0.2500 0.2500 0.2500

Computed properties:
Calculated volume in Å³ per atom: 25.8
Symmetry: F-43m
Energy in eV per cell: -15.8

Record 12
Below is crystalline Pr2TiS4 at its relaxed geometry, with properties calculated at the PBE level.

Lattice parameters (Å, degrees): 6.8290 6.3615 7.8335 90.00 106.69 90.00
Fractional positions:
Pr: 0.2316 0.2500 0.0605
Pr: 0.2468 0.2500 0.5599
Pr: 0.7532 0.7500 0.4401
Pr: 0.7684 0.7500 0.9395
Ti: 0.2497 0.7500 0.8095
Ti: 0.7503 0.2500 0.1905
S: 0.0036 0.5041 0.2554
S: 0.0036 0.9959 0.2554
S: 0.4351 0.7500 0.1052
S: 0.4377 0.7500 0.6096
S: 0.5623 0.2500 0.3904
S: 0.5649 0.2500 0.8948
S: 0.9964 0.0041 0.7446
S: 0.9964 0.4959 0.7446

Computed properties:
Formation energy without anion corrections in kJ per mole of atoms: -161.9
Calculated volume in Å³ per atom: 23.3
Symmetry: P2_1/m

Record 13
Below is crystalline RbIn2NiAg at its relaxed geometry, with properties calculated at the PBE level.

Lattice parameters (Å, degrees): 4.9937 4.9937 5.4019 90.00 90.00 90.00
Fractional positions:
Rb: 0.0000 0.0000 0.0000
In: 0.0000 0.5000 0.5000
In: 0.5000 0.0000 0.5000
Ni: 0.5000 0.5000 0.5000
Ag: 0.5000 0.5000 0.0000

Computed properties:
Calculated volume in Å³ per atom: 26.9
Symmetry: P4/mmm
Energy in eV per cell: -15.0

Record 14
Below is crystalline InPtRh2C at its relaxed geometry, with properties calculated at the PBE level.

Lattice parameters (Å, degrees): 4.9077 4.9077 4.9186 90.00 90.00 90.00
Fractional positions:
In: 0.0000 0.0000 0.0000
Pt: 0.0000 0.0000 0.5000
Rh: 0.0000 0.5000 0.0000
Rh: 0.5000 0.0000 0.0000
C: 0.5000 0.5000 0.5000

Computed properties:
Calculated volume in Å³ per atom: 23.7
Symmetry: P4/mmm
Energy in eV per cell: -19.4

Record 15
Below is crystalline ZrTe2Pd at its relaxed geometry, with properties calculated at the PBE level.

Lattice parameters (Å, degrees): 7.7547 7.7547 7.7547 131.98 131.98 70.26
Fractional positions:
Zr: 0.0000 0.0000 0.0000
Zr: 0.7500 0.2500 0.5000
Te: 0.1412 0.6250 0.0162
Te: 0.3750 0.3912 0.5162
Te: 0.6088 0.1250 0.9838
Te: 0.8750 0.8588 0.4838
Pd: 0.2500 0.7500 0.5000
Pd: 0.5000 0.5000 0.0000

Computed properties:
Formation energy without anion corrections in kJ per mole of atoms: -36.9
Calculated volume in Å³ per atom: 31.6
Symmetry: I-42d
ΔE to the lowest computed polymorph in meV/atom: 398

Record 16
Below is crystalline AlInHg2I4 at its relaxed geometry, with properties calculated at the PBE level.

Lattice parameters (Å, degrees): 10.1117 10.1117 10.1117 132.12 108.99 90.22
Fractional positions:
Al: 0.5000 0.0000 0.0000
Al: 0.5000 0.5000 0.5000
In: 0.0000 0.0000 0.0000
In: 0.5000 0.0000 0.5000
Hg: 0.0000 0.0000 0.5000
Hg: 0.0000 0.5000 0.0000
Hg: 0.0000 0.5000 0.5000
Hg: 0.5000 0.5000 0.0000
I: 0.3113 0.3079 0.4966
I: 0.3113 0.8147 0.0034
I: 0.3291 0.2490 0.0801
I: 0.3312 0.7510 0.5801
I: 0.6688 0.2490 0.4199
I: 0.6709 0.7510 0.9199
I: 0.6887 0.1853 0.9966
I: 0.6887 0.6921 0.5034

Computed properties:
Formation energy without anion corrections in kJ per mole of atoms: -30.5
Calculated volume in Å³ per atom: 43.0
Symmetry: Imma

Record 17
Below is crystalline PrThAlGa at its relaxed geometry, with properties calculated at the PBE level.

Lattice parameters (Å, degrees): 5.2771 5.2771 5.2771 60.00 60.00 60.00
Fractional positions:
Pr: 0.0000 0.0000 0.0000
Th: 0.5000 0.5000 0.5000
Al: 0.7500 0.7500 0.7500
Ga: 0.2500 0.2500 0.2500

Computed properties:
Calculated volume in Å³ per atom: 26.0
Symmetry: F-43m
Energy in eV per cell: -20.3

Record 18
Below is crystalline NaBiPbSe3 at its relaxed geometry, with properties calculated at the PBE level.

Lattice parameters (Å, degrees): 8.1829 4.1012 11.6239 90.00 96.67 90.00
Fractional positions:
Na: 0.1826 0.2500 0.4761
Na: 0.8174 0.7500 0.5239
Bi: 0.4724 0.7500 0.1626
Bi: 0.5276 0.2500 0.8374
Pb: 0.0479 0.2500 0.8015
Pb: 0.9521 0.7500 0.1985
Se: 0.1636 0.7500 0.6499
Se: 0.2657 0.2500 0.2408
Se: 0.3061 0.7500 0.9435
Se: 0.6939 0.2500 0.0565
Se: 0.7343 0.7500 0.7592
Se: 0.8364 0.2500 0.3501

Computed properties:
Formation energy without anion corrections in kJ per mole of atoms: -52.5
Calculated volume in Å³ per atom: 32.3
Symmetry: P2_1/m

Record 19
Below is crystalline ThSn2Sb at its relaxed geometry, with properties calculated at the PBE level.

Lattice parameters (Å, degrees): 4.6065 4.6065 5.1124 90.00 90.00 90.00
Fractional positions:
Th: 0.0000 0.0000 0.0000
Sn: 0.0000 0.5000 0.5000
Sn: 0.5000 0.0000 0.5000
Sb: 0.5000 0.5000 0.0000

Computed properties:
Formation energy without anion corrections in kJ per mole of atoms: -45.3
Calculated volume in Å³ per atom: 27.1
Symmetry: P4/mmm
ΔE to the lowest computed polymorph in meV/atom: 0

Record 20
Below is crystalline Ca2AcAu6 at its relaxed geometry, with properties calculated at the PBE level.

Lattice parameters (Å, degrees): 8.5283 8.5283 8.5283 154.40 124.25 62.32
Fractional positions:
Ca: 0.1422 0.1422 0.0000
Ca: 0.8578 0.8578 0.0000
Ac: 0.5000 0.0000 0.5000
Au: 0.1362 0.3223 0.8139
Au: 0.1757 0.5000 0.6757
Au: 0.4915 0.6777 0.8139
Au: 0.5085 0.3223 0.1861
Au: 0.8243 0.5000 0.3243
Au: 0.8638 0.6777 0.1861

Computed properties:
Calculated volume in Å³ per atom: 24.4
Symmetry: Immm
Energy in eV per cell: -34.0

Record 21
Below is crystalline CrFeSbRu at its relaxed geometry, with properties calculated at the PBE level.

Lattice parameters (Å, degrees): 4.3246 4.3246 4.3246 60.00 60.00 60.00
Fractional positions:
Cr: 0.0000 0.0000 0.0000
Fe: 0.7500 0.7500 0.7500
Sb: 0.5000 0.5000 0.5000
Ru: 0.2500 0.2500 0.2500

Computed properties:
Formation energy without anion corrections in kJ per mole of atoms: 11.0
Calculated volume in Å³ per atom: 14.3
Symmetry: F-43m

Record 22
Below is crystalline NiPt4Au at its relaxed geometry, with properties calculated at the PBE level.

Lattice parameters (Å, degrees): 2.7861 2.7861 11.8544 90.00 90.00 90.00
Fractional positions:
Ni: 0.0000 0.0000 0.0000
Pt: 0.0000 0.0000 0.3180
Pt: 0.0000 0.0000 0.6820
Pt: 0.5000 0.5000 0.1465
Pt: 0.5000 0.5000 0.8535
Au: 0.5000 0.5000 0.5000

Computed properties:
Calculated volume in Å³ per atom: 15.3
Symmetry: P4/mmm
ΔE to the lowest computed polymorph in meV/atom: 0

Record 23
Below is crystalline LaSnH2 at its relaxed geometry, with properties calculated at the PBE level.

Lattice parameters (Å, degrees): 3.7642 3.3455 5.8709 90.00 108.64 90.00
Fractional positions:
La: 0.0000 0.0000 0.0000
Sn: 0.7299 0.5000 0.4646
H: 0.1487 0.5000 0.3023
H: 0.4600 0.5000 0.9221

Computed properties:
Calculated volume in Å³ per atom: 17.5
Symmetry: Pm
Energy in eV per cell: -16.7

Record 24
Below is crystalline PaGeAs at its relaxed geometry, with properties calculated at the PBE level.

Lattice parameters (Å, degrees): 8.5549 8.5549 8.5549 152.77 152.77 38.89
Fractional positions:
Pa: 0.1404 0.1404 0.0000
Pa: 0.8596 0.8596 0.0000
Ge: 0.0000 0.5000 0.5000
Ge: 0.5000 0.0000 0.5000
As: 0.3221 0.3221 0.0000
As: 0.6779 0.6779 0.0000

Computed properties:
Calculated volume in Å³ per atom: 21.8
Symmetry: I4/mmm
ΔE to the lowest computed polymorph in meV/atom: 0

Record 25
Below is crystalline Pm2Ho2Te5 at its relaxed geometry, with properties calculated at the PBE level.

Lattice parameters (Å, degrees): 8.9657 8.9657 8.2197 90.00 90.00 54.61
Fractional positions:
Pm: 0.1976 0.1976 0.0000
Pm: 0.3024 0.3024 0.5000
Pm: 0.6976 0.6976 0.5000
Pm: 0.8024 0.8024 0.0000
Ho: 0.1450 0.8550 0.6491
Ho: 0.3550 0.6450 0.1491
Ho: 0.6450 0.3550 0.8509
Ho: 0.8550 0.1450 0.3509
Te: 0.0000 0.0000 0.0000
Te: 0.0227 0.7033 0.3438
Te: 0.2033 0.5227 0.8438
Te: 0.2967 0.9773 0.3438
Te: 0.4773 0.7967 0.8438
Te: 0.5000 0.5000 0.5000
Te: 0.5227 0.2033 0.1562
Te: 0.7033 0.0227 0.6562
Te: 0.7967 0.4773 0.1562
Te: 0.9773 0.2967 0.6562

Computed properties:
Formation energy without anion corrections in kJ per mole of atoms: -125.8
Calculated volume in Å³ per atom: 29.9
Symmetry: Cmce